Computed, not measured: a geometry-optimized LiCaNi2Ge2 structure at the PBE-GGA level of DFT.

Cell lengths 4.093, 4.093, 6.825 Å; angles 90.00, 90.00, 120.00 degrees
Fractional positions:
Li1 0.000 0.000 0.500
Ca1 0.000 0.000 0.000
Ni1 0.333 0.667 0.643
Ni2 0.667 0.333 0.357
Ge1 0.333 0.667 0.294
Ge2 0.667 0.333 0.706

The value obtained for the density is 5.2 g/cm3. Its energy of formation from the pure elements is -0.52 eV/atom.